# ZrSc2InN

A geometry-optimized ZrSc2InN structure (PBE-GGA, Alexandria).

Unit cell a=4.4705 b=4.4705 c=4.5285 alpha=90.00 beta=90.00 gamma=90.00
Last column: nearest neighbours and their distance in Å.
Space group P4/mmm (No. 123)
Asymmetric unit:
Zr  0.0000  0.0000  0.0000 (multiplicity 1)  2 N 2.26
Sc  0.0000  0.5000  0.5000 (multiplicity 2)  2 N 2.24
In  0.5000  0.5000  0.0000 (multiplicity 1)  4 Zr 3.16, 8 Sc 3.18
N  0.0000  0.0000  0.5000 (multiplicity 1)  4 Sc 2.24, 2 Zr 2.26

Summary:
formation energy (no corrections)	-1.034	eV per atom